EuHo2Ti: relaxed, GGA-PBE.

```
EuHo2Ti
1.0
3.369 0.000 0.000
1.684 2.917 0.000
1.684 0.972 11.931
Ho Eu Ti
2 1 1
Cartesian
5.053 2.917 2.900
1.684 0.972 9.031
3.369 1.945 5.965
0.000 0.000 0.000
```

Results
energy relative to the lowest polymorph listed for this composition = 326 meV/atom
DFT formation energy = 0.496 eV/atom
DFT total energy = -6.335 eV/atom
symmetry = R-3m, No. 166

EuHo2Ti: relaxed, GGA-PBE.

```
EuHo2Ti
1.0
-0.925 -0.493 -3.510
-0.991 -3.447 0.746
-8.267 2.764 1.791
Ho Eu Ti
2 1 1
Cartesian
-1.616 0.540 0.350
-6.651 2.224 1.441
-5.091 -0.588 -0.487
-0.958 -1.970 -1.382
```

Results
energy relative to the lowest polymorph listed for this composition = 0 meV/atom
DFT formation energy = 0.170 eV/atom
DFT total energy = -6.661 eV/atom
symmetry = P4/mmm, No. 123

EuHoTl: relaxed, GGA-PBE.

```
EuHoTl
1.0
-4.886 1.922 0.915
-3.899 -0.840 -3.535
-3.994 -3.325 1.179
Ho Eu Tl
1 1 1
Cartesian
-6.389 -1.121 -0.720
0.000 0.000 0.000
-3.195 -0.561 -0.360
```

Results
energy relative to the lowest polymorph listed for this composition = 144 meV/atom
DFT formation energy = -0.054 eV/atom
DFT total energy = -5.793 eV/atom
symmetry = F-43m, No. 216

EuHo2Tl: relaxed, GGA-PBE.

```
EuHo2Tl
1.0
3.669 0.000 0.000
0.000 3.669 0.000
0.000 0.000 9.350
Eu Ho Tl
1 2 1
Cartesian
1.834 1.834 4.675
0.000 0.000 7.361
0.000 0.000 1.989
1.834 1.834 0.000
```

Results
energy relative to the lowest polymorph listed for this composition = 31 meV/atom
DFT formation energy = -0.103 eV/atom
DFT total energy = -5.552 eV/atom
symmetry = P4/mmm, No. 123

EuHoTl: relaxed, GGA-PBE.

```
EuHoTl
1.0
3.757 0.000 0.000
0.000 5.378 0.000
0.000 -2.689 4.658
Ho Eu Tl
1 1 1
Cartesian
0.866 2.689 1.553
2.574 0.000 3.105
0.317 0.000 0.000
```

Results
energy relative to the lowest polymorph listed for this composition = 39 meV/atom
DFT formation energy = -0.158 eV/atom
DFT total energy = -5.898 eV/atom
symmetry = P3m1, No. 156

EuHo2Tl: relaxed, GGA-PBE.

```
EuHo2Tl
1.0
4.809 0.000 0.000
0.000 4.957 0.000
0.000 0.000 4.957
Ho Tl Eu
2 1 1
Cartesian
0.000 2.478 0.000
0.000 0.000 2.478
2.405 0.000 0.000
2.405 2.478 2.478
```

Results
energy relative to the lowest polymorph listed for this composition = 0 meV/atom
DFT formation energy = -0.134 eV/atom
DFT total energy = -5.583 eV/atom
symmetry = P4/mmm, No. 123

EuHoTl: relaxed, GGA-PBE.

```
EuHoTl
1.0
3.788 0.000 0.000
0.000 3.788 0.000
-1.894 -1.894 6.602
Ho Eu Tl
1 1 1
Cartesian
0.000 0.000 3.480
1.894 1.894 6.090
1.894 1.894 1.653
```

Results
energy relative to the lowest polymorph listed for this composition = 0 meV/atom
DFT formation energy = -0.198 eV/atom
DFT total energy = -5.937 eV/atom
symmetry = I4mm, No. 107

EuHo2Tl: relaxed, GGA-PBE.

```
EuHo2Tl
1.0
5.506 0.000 0.000
2.753 4.768 0.000
2.753 1.589 4.495
Ho Tl Eu
2 1 1
Cartesian
8.258 4.768 3.371
2.753 1.589 1.124
5.506 3.179 2.248
0.000 0.000 0.000
```

Results
energy relative to the lowest polymorph listed for this composition = 125 meV/atom
DFT formation energy = -0.010 eV/atom
DFT total energy = -5.459 eV/atom
symmetry = Fm-3m, No. 225

EuHoTmTl: relaxed, GGA-PBE.

```
EuHoTmTl
1.0
-3.621 3.078 -2.848
-5.403 -0.259 1.200
-2.505 4.297 2.440
Tm Ho Tl Eu
1 1 1 1
Cartesian
-5.764 3.558 0.396
-2.882 1.779 0.198
0.000 0.000 0.000
-8.646 5.338 0.594
```

Results
DFT formation energy = -0.023 eV/atom
DFT total energy = -5.445 eV/atom
symmetry = F-43m, No. 216

EuYHoTl: relaxed, GGA-PBE.

```
EuYHoTl
1.0
-2.574 3.271 3.630
-1.026 -1.819 5.113
2.782 2.095 4.286
Tl Ho Y Eu
1 1 1 1
Cartesian
0.000 0.000 0.000
-0.205 0.887 3.257
-0.614 2.660 9.772
-0.409 1.773 6.514
```

Results
DFT formation energy = -0.027 eV/atom
DFT total energy = -5.947 eV/atom
symmetry = F-43m, No. 216

Eu2HoTm: relaxed, GGA-PBE.

```
Eu2HoTm
1.0
-3.483 0.094 -4.645
0.036 -4.436 -3.746
-4.552 -3.593 -0.289
Tm Eu Ho
1 2 1
Cartesian
-3.999 -3.967 -4.340
-2.000 -1.984 -2.170
-5.999 -5.951 -6.510
0.000 0.000 0.000
```

Results
DFT formation energy = 0.175 eV/atom
DFT total energy = -7.224 eV/atom
symmetry = Fm-3m, No. 225

Eu2HoTm: relaxed, GGA-PBE.

```
Eu2HoTm
1.0
4.080 0.000 0.000
0.000 4.080 0.000
0.000 0.000 8.326
Eu Tm Ho
2 1 1
Cartesian
0.000 0.000 2.050
0.000 0.000 6.276
2.040 2.040 0.000
2.040 2.040 4.163
```

Results
DFT formation energy = 0.176 eV/atom
DFT total energy = -7.223 eV/atom
symmetry = P4/mmm, No. 123

EuHo4Tm: relaxed, GGA-PBE.

```
EuHo4Tm
1.0
-6.516 1.161 0.148
-4.209 -4.420 -2.564
-3.906 -3.554 3.992
Ho Tm Eu
4 1 1
Cartesian
-5.867 -4.857 0.912
-9.167 -4.269 0.987
-7.036 -2.031 2.286
-7.189 -2.469 -1.035
0.000 0.000 0.000
-3.657 -1.703 0.394
```

Results
DFT formation energy = 0.250 eV/atom
DFT total energy = -5.260 eV/atom
symmetry = F-43m, No. 216

EuYHoTm: relaxed, GGA-PBE.

```
EuYHoTm
1.0
5.721 0.000 0.000
2.861 4.955 0.000
2.861 1.652 4.671
Ho Y Eu Tm
1 1 1 1
Cartesian
2.861 1.652 1.168
8.582 4.955 3.503
0.000 0.000 0.000
5.721 3.303 2.336
```

Results
DFT formation energy = 0.165 eV/atom
DFT total energy = -6.282 eV/atom
symmetry = F-43m, No. 216

EuYHo4: relaxed, GGA-PBE.

```
EuYHo4
1.0
-1.656 -3.788 5.202
-3.604 -5.507 -0.913
2.803 -5.973 0.787
Eu Ho Y
1 4 1
Cartesian
-0.614 -3.817 1.269
0.286 -6.778 3.643
-2.959 -6.542 2.782
-0.701 -7.649 0.545
-1.540 -9.567 3.181
0.000 0.000 0.000
```

Results
DFT formation energy = 0.234 eV/atom
DFT total energy = -5.608 eV/atom
symmetry = F-43m, No. 216

EuYHo2: relaxed, GGA-PBE.

```
EuYHo2
1.0
3.602 0.000 0.000
1.801 3.119 0.000
1.801 1.040 11.840
Eu Ho Y
1 2 1
Cartesian
0.000 0.000 0.000
1.801 1.040 3.081
5.403 3.119 8.760
3.602 2.080 5.920
```

Results
energy relative to the lowest polymorph listed for this composition = 0 meV/atom
DFT formation energy = 0.062 eV/atom
DFT total energy = -6.411 eV/atom
symmetry = R-3m, No. 166